Entry from Alexandria: a relaxed structure of K2IrW (PBE).

a b c (Å): 2.978 4.716 11.866
angles (deg): 90.00 90.00 90.00
Space group Cmmm (No. 65)
Asymmetric unit:
K 0.000 0.000 0.231 (multiplicity 4)
Ir 0.000 0.500 0.000 (multiplicity 2)
W 0.000 0.500 0.500 (multiplicity 2)

Properties
calculated volume: 20.83 A^3/atom
D(E_F): 0.99 states/eV per atom
energy of formation: 1.1927 eV per atom